Entry 1:
Computed, not measured: an optimized crystal structure of Ti3BeW at the PBE-GGA level of DFT.

a b c (Å): 4.7524 4.7524 4.7524
angles (deg): 90.00 90.00 90.00
Last column: nearest neighbours and their distance in Å.
Element x y z (fractional)
Be (0.5000, 0.5000, 0.5000)  12 Ti 3.36
W (0.0000, 0.0000, 0.0000)  6 Ti 2.38
Ti (0.0000, 0.5000, 0.0000)  2 W 2.38
Ti (0.0000, 0.0000, 0.5000)  2 W 2.38
Ti (0.5000, 0.0000, 0.0000)  2 W 2.38

Results
The value obtained for the relative energy among the computed polymorphs is 593 meV/atom. Its energy of formation is 1238 meV/atom. The value obtained for the magnetization is 0.450 μB/f.u.

---

Entry 2:
Computed, not measured: an optimized crystal structure of Ti2Be2W at the PBE-GGA level of DFT.

a b c (Å): 7.0510 7.0510 2.6959
angles (deg): 90.00 90.00 90.00
Last column: nearest neighbours and their distance in Å.
Element x y z (fractional)
Be (0.1724, 0.6724, 0.5000)  6 Ti 2.39-2.54
Be (0.6724, 0.8276, 0.5000)  6 Ti 2.39-2.54
Be (0.8276, 0.3276, 0.5000)  6 Ti 2.39-2.54
Be (0.3276, 0.1724, 0.5000)  6 Ti 2.39-2.54
W (0.0000, 0.0000, 0.0000)  2 W 2.70, 4 Ti 2.77, 8 Be 2.94
W (0.5000, 0.5000, 0.0000)  2 W 2.70, 4 Ti 2.77, 8 Be 2.94
Ti (0.3707, 0.8707, 0.0000)  6 Be 2.39-2.54, 1 Ti 2.58
Ti (0.8707, 0.6293, 0.0000)  6 Be 2.39-2.54, 1 Ti 2.58
Ti (0.6293, 0.1293, 0.0000)  6 Be 2.39-2.54, 1 Ti 2.58
Ti (0.1293, 0.3707, 0.0000)  6 Be 2.39-2.54, 1 Ti 2.58

Results
The value obtained for the relative energy among the computed polymorphs is 308 meV/atom. Its energy of formation is 257 meV/atom. The value obtained for the magnetization is 0.000 μB/f.u.

---

Entry 3:
Computed, not measured: an optimized crystal structure of TiBe2W at the PBE-GGA level of DFT.

a b c (Å): 3.1978 3.1978 6.1461
angles (deg): 74.92 74.92 60.00
Last column: nearest neighbours and their distance in Å.
Element x y z (fractional)
Be (0.2462, 0.2462, 0.2613)  3 W 2.32, 3 Ti 2.40
Be (0.7538, 0.7538, 0.7387)  3 W 2.32, 3 Ti 2.40
W (0.5000, 0.5000, 0.5000)  6 Be 2.32
Ti (0.0000, 0.0000, 0.0000)  6 Be 2.40

Results
The value obtained for the relative energy among the computed polymorphs is 293 meV/atom. Its energy of formation is 366 meV/atom. The value obtained for the magnetization is 0.000 μB/f.u.

---

Entry 4:
Computed, not measured: an optimized crystal structure of TiBeW3 at the PBE-GGA level of DFT.

a b c (Å): 4.2741 4.2741 4.2741
angles (deg): 90.00 90.00 90.00
Last column: nearest neighbours and their distance in Å.
Element x y z (fractional)
Be (0.0000, 0.0000, 0.0000)  6 W 2.14
W (0.0000, 0.5000, 0.0000)  2 Be 2.14
W (0.0000, 0.0000, 0.5000)  2 Be 2.14
W (0.5000, 0.0000, 0.0000)  2 Be 2.14
Ti (0.5000, 0.5000, 0.5000)  12 W 3.02

Results
The value obtained for the relative energy among the computed polymorphs is 0 meV/atom. Its energy of formation is 713 meV/atom. The value obtained for the magnetization is 0.000 μB/f.u.

---

Entry 5:
Computed, not measured: an optimized crystal structure of Ti2Be2W at the PBE-GGA level of DFT.

a b c (Å): 3.0560 3.0560 8.2257
angles (deg): 79.29 79.29 90.00
Last column: nearest neighbours and their distance in Å.
Element x y z (fractional)
Be (0.7500, 0.2500, 0.5000)  4 Be 2.16
Be (0.2500, 0.7500, 0.5000)  4 Be 2.16
W (0.0000, 0.0000, 0.0000)  8 Ti 2.69
Ti (0.3996, 0.3996, 0.2008)  4 W 2.69, 4 Be 2.82
Ti (0.6004, 0.6004, 0.7992)  4 W 2.69, 4 Be 2.82

Results
The value obtained for the relative energy among the computed polymorphs is 433 meV/atom. Its energy of formation is 382 meV/atom. The value obtained for the magnetization is 0.000 μB/f.u.

---

Entry 6:
Computed, not measured: an optimized crystal structure of TiBeW2 at the PBE-GGA level of DFT.

a b c (Å): 7.0049 7.0049 5.5384
angles (deg): 50.77 50.77 90.00
Last column: nearest neighbours and their distance in Å.
Element x y z (fractional)
Be (0.5000, 0.5000, 0.0000)  4 W 2.34, 2 Ti 2.48
Be (0.2500, 0.7500, 0.5000)  4 W 2.34, 2 Ti 2.48
W (0.5792, 0.1250, 0.2500)  2 Be 2.34, 2 W 2.56
W (0.1708, 0.6250, 0.2500)  2 Be 2.34, 2 W 2.56
W (0.3750, 0.4208, 0.7500)  2 Be 2.34, 2 W 2.56
W (0.8750, 0.8292, 0.7500)  2 Be 2.34, 2 W 2.56
Ti (0.0000, 0.0000, 0.0000)  2 Be 2.48
Ti (0.7500, 0.2500, 0.5000)  2 Be 2.48

Results
Its energy of formation is 615 meV/atom. The value obtained for the magnetization is 0.000 μB/f.u.

---

Number 1: VASP energy -6.8345 eV per atom. Number 2: VASP energy -6.9820 eV per atom. Number 3: VASP energy -6.7096 eV per atom. Number 4: VASP energy -9.3831 eV per atom. Number 5: VASP energy -6.8570 eV per atom. Number 6: VASP energy -8.7664 eV per atom.